The following is a DFT calculation (GGA-PBE) of an optimized crystal structure of SiAs2Os.

Cell lengths 3.0664, 3.0664, 7.2615 Å; angles 90.00, 90.00, 90.00 degrees
With the nearest neighbours (Å) after each atom.
Positions (direct):
Si 0.0000 0.0000 0.0000  4 Os 2.56, 4 As 2.60
As 0.0000 0.0000 0.5879  4 Os 2.71, 1 Si 2.99
As 0.5000 0.5000 0.1972  4 Si 2.60, 1 Os 2.80
Os 0.5000 0.5000 0.8118  4 Si 2.56, 5 As 2.71-2.80

Results
* energy: -6.33 eV per atom